The following is a PBE calculation of Zr7N2O11 after structural relaxation, from Alexandria.

Cell lengths 8.1763, 8.1887, 8.2150 Å; angles 72.77, 72.18, 72.39 degrees
Last column: nearest neighbours and their distance in Å.
Fractional positions:
Zr 0.0000 0.0000 0.0000  1 N 2.14, 6 O 2.16-2.28
Zr 0.0083 0.8433 0.6342  4 O 2.16-2.22, 2 N 2.20-2.21
Zr 0.0793 0.5757 0.2831  7 O 2.12-2.27
Zr 0.1540 0.3872 0.9201  6 O 2.10-2.29, 1 N 2.16
Zr 0.2096 0.1888 0.5867  1 N 2.11, 6 O 2.14-2.29
Zr 0.3285 0.9462 0.2391  6 O 2.09-2.33
Zr 0.3947 0.6943 0.8953  5 O 2.10-2.23, 1 N 2.16
Zr 0.4364 0.5060 0.5396  5 O 2.09-2.28, 1 N 2.25
Zr 0.5191 0.3186 0.1831  5 O 2.10-2.22, 1 N 2.15
Zr 0.6030 0.1031 0.7947  3 O 2.06-2.18, 3 N 2.19-2.26
Zr 0.6894 0.8872 0.4115  6 O 2.13-2.38, 1 N 2.15
Zr 0.7444 0.7056 0.0427  5 O 2.09-2.28, 2 N 2.18-2.29
Zr 0.8036 0.4936 0.7147  5 O 2.04-2.23, 1 N 2.24
Zr 0.8908 0.2253 0.3380  6 O 2.09-2.31, 1 N 2.22
N 0.3487 0.2652 0.7188  4 Zr 2.11-2.26
N 0.6256 0.5191 0.9787  4 Zr 2.15-2.29
N 0.7722 0.0228 0.5479  4 Zr 2.15-2.23
N 0.8438 0.9335 0.8729  4 Zr 2.14-2.20
O 0.1117 0.0557 0.4421  4 Zr 2.15-2.26
O 0.1187 0.1442 0.1163  4 Zr 2.19-2.28
O 0.1991 0.9420 0.7686  3 Zr 2.14-2.36
O 0.2071 0.8004 0.1183  4 Zr 2.21-2.33
O 0.2519 0.7379 0.4507  3 Zr 2.13-2.21
O 0.2734 0.5946 0.7675  3 Zr 2.10-2.12
O 0.2834 0.4707 0.0796  4 Zr 2.14-2.26
O 0.3046 0.4196 0.3933  4 Zr 2.18-2.25
O 0.4394 0.0665 0.4066  2 Zr 2.13-2.18
O 0.4828 0.1452 0.0601  3 Zr 2.10-2.26
O 0.5128 0.8722 0.9383  3 Zr 2.12-2.22
O 0.5661 0.7660 0.2733  3 Zr 2.09-2.29
O 0.5788 0.7033 0.6318  3 Zr 2.14-2.23
O 0.6373 0.3872 0.3527  3 Zr 2.09-2.19
O 0.6450 0.3532 0.6954  3 Zr 2.04-2.28
O 0.7776 0.1271 0.1889  4 Zr 2.18-2.38
O 0.8831 0.7934 0.1933  4 Zr 2.12-2.28
O 0.9203 0.6920 0.5081  4 Zr 2.18-2.26
O 0.9469 0.4750 0.1575  4 Zr 2.15-2.29
O 0.9489 0.6001 0.8244  4 Zr 2.17-2.23
O 0.9810 0.3680 0.4866  4 Zr 2.16-2.31
O 0.9936 0.2644 0.8241  4 Zr 2.20-2.29

Uncorrected formation energy   -59.69 eV/f.u.
Space-group type   P1 (1)
Density   5.75 g/cm³
M_tot   0.0 Bohr magnetons per cell